Record 1
First-principles (GGA-PBE) data for a relaxed structure of Ca2MgN, as listed in Alexandria via LeMat-Bulk.

Total magnetic moment: 0.00 μB/f.u.
E above lowest polymorph: 61 meV/atom
Space-group type: No. 166
Energy: -3.97 eV per atom
DOS at the Fermi energy: 0.35 states/eV per cell
Crystal system: trigonal

```
4
Lattice="3.5242 0.0000 0.0000 1.7621 3.0520 0.0000 1.7621 1.0173 9.4087" Properties=species:S:1:pos:R:3 pbc="T T T"
N 3.5242 2.0347 4.7044
Mg 0.0000 0.0000 0.0000
Ca 5.2863 3.0520 3.4350
Ca 1.7621 1.0173 5.9737
```

Record 2
First-principles (GGA-PBE) data for a relaxed structure of PmPr5Y5, as listed in Alexandria via LeMat-Bulk.

Total magnetic moment: 0.74 μB/f.u.
Calculated formation energy: 0.250 eV per atom
E above lowest polymorph: 0 meV/atom
Space-group type: No. 12
Energy: -5.29 eV per atom
DOS at the Fermi energy: 19.29 states/eV per cell
Crystal system: monoclinic

```
11
Lattice="6.1465 0.0000 0.0000 -3.0732 9.3591 0.6139 0.0000 -2.6244 6.5312" Properties=species:S:1:pos:R:3 pbc="T T T"
Pm 0.0000 0.0000 0.0000
Pr 3.0732 0.6643 4.3953
Pr 0.0000 6.0704 2.7498
Pr 3.0732 2.7331 1.4793
Pr 0.0000 4.0017 5.6658
Pr 0.0000 -1.3122 3.2656
Y 0.0000 2.2448 2.9256
Y 0.0000 0.8287 6.2185
Y 3.0732 4.4900 4.2195
Y 3.0733 5.9061 0.9266
Y 3.0732 0.0000 0.0000
```

Record 3
First-principles (GGA-PBE) data for a relaxed structure of PmNd10Ho6, as listed in Alexandria via LeMat-Bulk.

Total magnetic moment: 0.00 μB/f.u.
Calculated formation energy: 0.131 eV per atom
Space-group type: No. 162
Energy: -4.57 eV per atom
DOS at the Fermi energy: 25.94 states/eV per cell
Crystal system: trigonal

```
17
Lattice="-3.7223 5.6673 -1.4083 -6.1940 -5.4178 -5.4306 -1.7060 1.2719 9.6271" Properties=species:S:1:pos:R:3 pbc="T T T"
Nd -3.2020 -0.9580 4.6079
Nd -4.6980 -3.1879 -0.4114
Nd -8.7605 1.6359 1.8844
Nd -5.0631 1.8757 3.9037
Nd -3.5163 4.9872 1.5096
Nd -6.5592 -0.3542 -1.1155
Nd -1.9120 1.9520 6.7091
Nd -2.8618 -0.1144 0.9038
Nd -5.1592 -2.8882 -4.1856
Nd -4.7571 3.1377 -2.6533
Ho -3.6423 4.7110 5.0890
Ho -5.4949 2.3744 0.5829
Ho -3.4486 -0.2500 -2.4484
Ho -1.7860 2.2282 3.1298
Ho -6.4677 0.4995 -4.3905
Ho -6.1274 -0.8530 2.2053
Pm -1.8611 2.8337 -0.7042
```

Record 4
First-principles (GGA-PBE) data for a relaxed structure of LaNi2Ag2, as listed in Alexandria via LeMat-Bulk.

Total magnetic moment: 0.00 μB/f.u.
Calculated formation energy: 0.054 eV per atom
E above lowest polymorph: 209 meV/atom
Space-group type: No. 139
Energy: -4.38 eV per atom
DOS at the Fermi energy: 4.43 states/eV per cell
Crystal system: tetragonal

```
5
Lattice="-1.6735 2.5566 3.2660 1.8764 -2.6742 3.0548 4.2099 2.7326 3.0804" Properties=species:S:1:pos:R:3 pbc="T T T"
La 0.0000 0.0000 0.0000
Ni 3.0939 -0.0001 4.6478
Ni 1.3190 2.6153 4.7534
Ag 1.1867 0.6785 3.1393
Ag 3.2262 1.9366 6.2620
```

Record 5
First-principles (GGA-PBE) data for a relaxed structure of Cs2BeGe, as listed in Alexandria via LeMat-Bulk.

Total magnetic moment: 2.00 μB/f.u.
Calculated formation energy: 0.877 eV per atom
Space-group type: No. 225
Energy: -1.64 eV per atom
DOS at the Fermi energy: 3.18 states/eV per cell
Crystal system: cubic

```
4
Lattice="0.0000 4.3094 4.3094 4.3094 0.0000 4.3094 4.3094 4.3094 0.0000" Properties=species:S:1:pos:R:3 pbc="T T T"
Cs 2.1547 2.1547 2.1547
Cs 6.4640 6.4640 6.4640
Ge 4.3094 4.3094 4.3094
Be 0.0000 0.0000 0.0000
```

Record 6
First-principles (GGA-PBE) data for a relaxed structure of Rb2NaRe, as listed in Alexandria via LeMat-Bulk.

Total magnetic moment: 3.92 μB/f.u.
Calculated formation energy: 1.524 eV per atom
E above lowest polymorph: 0 meV/atom
Space-group type: No. 225
Energy: -2.40 eV per atom
DOS at the Fermi energy: 8.20 states/eV per cell
Crystal system: cubic

```
4
Lattice="2.3846 -5.0421 2.7964 -2.0600 -5.6859 -1.5348 3.6802 -3.8934 -3.1978" Properties=species:S:1:pos:R:3 pbc="T T T"
Rb 1.0012 -3.6553 -0.4841
Rb 3.0036 -10.9660 -1.4522
Re 2.0024 -7.3107 -0.9681
Na 0.0000 0.0000 0.0000
```

Record 7
First-principles (GGA-PBE) data for a relaxed structure of PmYErTm, as listed in Alexandria via LeMat-Bulk.

Total magnetic moment: 0.00 μB/f.u.
Calculated formation energy: 0.025 eV per atom
E above lowest polymorph: 0 meV/atom
Space-group type: No. 119
Energy: -5.04 eV per atom
DOS at the Fermi energy: 6.08 states/eV per cell
Crystal system: tetragonal

```
4
Lattice="5.0386 0.0000 0.0000 0.0000 5.0362 0.0000 -2.5193 -2.5181 5.0062" Properties=species:S:1:pos:R:3 pbc="T T T"
Y 0.0000 0.0000 1.1984
Er 2.5193 0.0000 3.7011
Tm 2.5193 2.5181 1.1998
Pm 0.0000 2.5181 3.7041
```

Record 8
First-principles (GGA-PBE) data for a relaxed structure of CdRe2Pb, as listed in Alexandria via LeMat-Bulk.

Total magnetic moment: 0.00 μB/f.u.
Calculated formation energy: 0.951 eV per atom
E above lowest polymorph: 613 meV/atom
Space-group type: No. 10
Energy: -6.43 eV per atom
DOS at the Fermi energy: 2.15 states/eV per cell
Crystal system: monoclinic

```
4
Lattice="4.5880 0.0000 0.0000 0.0000 2.9417 0.2000 0.0000 0.7080 5.8812" Properties=species:S:1:pos:R:3 pbc="T T T"
Re 0.0000 2.5331 0.4427
Re 0.0000 2.2335 2.7978
Cd 2.2940 0.9124 1.5203
Pb 2.2940 2.7373 4.5609
```

Record 9
First-principles (GGA-PBE) data for a relaxed structure of AcEuCu2, as listed in Alexandria via LeMat-Bulk.

Total magnetic moment: 7.07 μB/f.u.
Calculated formation energy: 0.026 eV per atom
E above lowest polymorph: 115 meV/atom
Space-group type: No. 166
Energy: -5.62 eV per atom
DOS at the Fermi energy: 11.24 states/eV per cell
Crystal system: trigonal

```
4
Lattice="4.3952 0.0000 0.0000 2.1976 3.8064 0.0000 2.1976 1.2688 7.0462" Properties=species:S:1:pos:R:3 pbc="T T T"
Eu 4.3952 2.5376 3.5231
Cu 2.1976 1.2688 1.8107
Cu 6.5928 3.8064 5.2354
Ac 0.0000 0.0000 0.0000
```

Record 10
First-principles (GGA-PBE) data for a relaxed structure of Ca2CoSi4Ir3, as listed in Alexandria via LeMat-Bulk.

Total magnetic moment: 0.00 μB/f.u.
Space-group type: No. 115
Energy: -6.74 eV per atom
DOS at the Fermi energy: 3.20 states/eV per cell
Crystal system: tetragonal

```
10
Lattice="-3.5126 2.0946 -0.0964 -2.0692 -3.4932 -0.5015 -0.8246 -0.9285 9.8697" Properties=species:S:1:pos:R:3 pbc="T T T"
Ir -2.4733 0.2400 8.5332
Ir -1.1422 -1.8678 1.0375
Ir -0.4123 -0.4643 4.9348
Si -2.7909 -0.6993 -0.2990
Si 0.0000 0.0000 0.0000
Si -1.3459 -2.0972 3.4758
Si -2.2696 0.4694 6.0949
Ca -1.9647 0.8127 2.4455
Ca -1.6508 -2.4405 7.1252
Co -3.2032 -1.1635 4.6359
```

Record 11
First-principles (GGA-PBE) data for a relaxed structure of B3P2, as listed in Alexandria via LeMat-Bulk.

Total magnetic moment: 0.00 μB/f.u.
Calculated formation energy: 0.140 eV per atom
E above lowest polymorph: 4 meV/atom
Space-group type: No. 25
Energy: -6.03 eV per atom
DOS at the Fermi energy: 0.89 states/eV per cell
Crystal system: orthorhombic

```
5
Lattice="3.1071 0.0000 0.0000 0.0000 3.2037 0.0000 0.0000 0.0000 6.0752" Properties=species:S:1:pos:R:3 pbc="T T T"
P 0.0000 0.0000 5.1493
P 1.5535 0.0000 2.1977
B 0.0000 1.6018 0.1330
B 0.0000 0.0000 3.2674
B 1.5535 1.6018 1.0125
```

Record 12
First-principles (GGA-PBE) data for a relaxed structure of VIn2Os, as listed in Alexandria via LeMat-Bulk.

Total magnetic moment: 2.39 μB/f.u.
Calculated formation energy: 0.869 eV per atom
E above lowest polymorph: 496 meV/atom
Space-group type: No. 122
Energy: -5.59 eV per atom
DOS at the Fermi energy: 10.54 states/eV per cell
Crystal system: tetragonal

```
8
Lattice="7.6307 0.0000 0.0000 0.0000 7.6307 0.0000 3.8154 3.8154 2.7449" Properties=species:S:1:pos:R:3 pbc="T T T"
Os 0.0000 0.0000 0.0000
Os 7.6307 3.8154 1.3724
V 3.8154 7.6307 1.3724
V 3.8154 3.8154 0.0000
In 5.8584 1.9077 0.6862
In 9.5384 9.6738 2.0586
In 1.7723 5.7230 0.6862
In 5.7230 5.5877 2.0586
```